1.
Entry from the Alexandria database: crystalline RbZrTe2I at its relaxed geometry (GGA-PBE).

Geometry as CIF:
```
data_RbZrTe2I
_chemical_formula_sum 'Rb1 Zr1 Te2 I1'
_space_group_name_H-M_alt 'P 4/m m m'
_space_group_IT_number 123
_space_group_name_Hall '-P 4 2'
_cell_length_a 6.068
_cell_length_b 6.068
_cell_length_c 6.119
_cell_angle_alpha 90.00
_cell_angle_beta 90.00
_cell_angle_gamma 90.00
loop_
_atom_site_label
_atom_site_fract_x
_atom_site_fract_y
_atom_site_fract_z
_atom_site_occupancy
Rb1 0.000 0.000 0.000 1
Zr1 0.500 0.500 0.500 1
Te1 0.000 0.500 0.000 1
I1 0.000 0.000 0.500 1
```

- distance to the lowest polymorph of the same formula (meV per atom) = 1941.8
- final energy (eV for the cell shown) = -11.98
- density (g/cm³) = 4.12

2.
Entry from the Alexandria database: crystalline RbThI2 at its relaxed geometry (GGA-PBE).

Geometry as CIF:
```
data_RbThI2
_chemical_formula_sum 'Rb3 Th3 I6'
_space_group_name_H-M_alt 'R -3 m'
_space_group_IT_number 166
_space_group_name_Hall '-R 3 2"'
_cell_length_a 4.0266
_cell_length_b 4.0266
_cell_length_c 36.3670
_cell_angle_alpha 90.00
_cell_angle_beta 90.00
_cell_angle_gamma 120.00
loop_
_atom_site_label
_atom_site_fract_x
_atom_site_fract_y
_atom_site_fract_z
_atom_site_occupancy
Rb1 0.0000 0.0000 0.0000 1
Th1 0.0000 0.0000 0.5000 1
I1 0.0000 0.0000 0.1037 1
```

- final energy (eV for the cell shown) = -43.51
- density (g/cm³) = 5.57

3.
Entry from the Alexandria database: crystalline RbTh2I8 at its relaxed geometry (GGA-PBE).

Geometry as CIF:
```
data_RbTh2I8
_chemical_formula_sum 'Rb2 Th4 I16'
_space_group_name_H-M_alt 'C 1 2/m 1'
_space_group_IT_number 12
_cell_length_a 17.187
_cell_length_b 8.657
_cell_length_c 8.552
_cell_angle_alpha 90.00
_cell_angle_beta 99.11
_cell_angle_gamma 90.00
loop_
_space_group_symop_operation_xyz
'x,y,z'
'-x,-y,-z'
'-x,y,-z'
'x,-y,z'
'x+1/2,y+1/2,z'
'-x+1/2,-y+1/2,-z'
'-x+1/2,y+1/2,-z'
'x+1/2,-y+1/2,z'
loop_
_atom_site_label
_atom_site_fract_x
_atom_site_fract_y
_atom_site_fract_z
_atom_site_occupancy
Rb1 0.000 0.000 0.000 1
Th1 0.246 0.500 0.507 1
I1 0.131 0.500 0.733 1
I2 0.138 0.000 0.724 1
I3 0.146 0.249 0.288 1
```

- final energy (eV for the cell shown) = -82.56
- density (g/cm³) = 4.14

4.
Entry from the Alexandria database: crystalline RbThI6 at its relaxed geometry (GGA-PBE).

Geometry as CIF:
```
data_RbThI6
_chemical_formula_sum 'Rb2 Th2 I12'
_space_group_name_H-M_alt 'C 1 2/m 1'
_space_group_IT_number 12
_cell_length_a 9.983
_cell_length_b 11.165
_cell_length_c 7.454
_cell_angle_alpha 90.00
_cell_angle_beta 99.66
_cell_angle_gamma 90.00
loop_
_space_group_symop_operation_xyz
'x,y,z'
'-x,-y,-z'
'-x,y,-z'
'x,-y,z'
'x+1/2,y+1/2,z'
'-x+1/2,-y+1/2,-z'
'-x+1/2,y+1/2,-z'
'x+1/2,-y+1/2,z'
loop_
_atom_site_label
_atom_site_fract_x
_atom_site_fract_y
_atom_site_fract_z
_atom_site_occupancy
Rb1 0.000 0.000 0.000 1
Th1 0.000 0.500 0.500 1
I1 0.095 0.308 0.788 1
I2 0.212 0.000 0.595 1
```

- distance to the lowest polymorph of the same formula (meV per atom) = 0.0
- final energy (eV for the cell shown) = -52.23
- density (g/cm³) = 4.38

5.
Entry from the Alexandria database: crystalline Rb6ThI12 at its relaxed geometry (GGA-PBE).

Geometry as CIF:
```
data_Rb6ThI12
_chemical_formula_sum 'Rb18 Th3 I36'
_space_group_name_H-M_alt 'R -3'
_space_group_IT_number 148
_space_group_name_Hall '-R 3'
_cell_length_a 15.5357
_cell_length_b 15.5357
_cell_length_c 15.4374
_cell_angle_alpha 90.00
_cell_angle_beta 90.00
_cell_angle_gamma 120.00
loop_
_atom_site_label
_atom_site_fract_x
_atom_site_fract_y
_atom_site_fract_z
_atom_site_occupancy
Rb1 0.0606 0.4666 0.3096 1
Th1 0.0000 0.0000 0.0000 1
I1 0.0552 0.1839 0.8864 1
I2 0.0663 0.2461 0.4019 1
```

- final energy (eV for the cell shown) = -164.20
- density (g/cm³) = 3.50

6.
Entry from the Alexandria database: crystalline Rb3ThI8 at its relaxed geometry (GGA-PBE).

Geometry as CIF:
```
data_Rb3ThI8
_chemical_formula_sum 'Rb3 Th1 I8'
_space_group_name_H-M_alt 'P m -3 m'
_space_group_IT_number 221
_space_group_name_Hall '-P 4 2 3'
_cell_length_a 8.434
_cell_length_b 8.434
_cell_length_c 8.434
_cell_angle_alpha 90.00
_cell_angle_beta 90.00
_cell_angle_gamma 90.00
loop_
_atom_site_label
_atom_site_fract_x
_atom_site_fract_y
_atom_site_fract_z
_atom_site_occupancy
Rb1 0.000 0.000 0.500 1
Th1 0.500 0.500 0.500 1
I1 0.276 0.276 0.276 1
```

- final energy (eV for the cell shown) = -36.77
- density (g/cm³) = 4.16

7.
Entry from the Alexandria database: crystalline RbThI6 at its relaxed geometry (GGA-PBE).

Geometry as CIF:
```
data_RbThI6
_chemical_formula_sum 'Rb1 Th1 I6'
_space_group_name_H-M_alt 'P -1'
_space_group_IT_number 2
_cell_length_a 5.648
_cell_length_b 8.829
_cell_length_c 9.473
_cell_angle_alpha 70.85
_cell_angle_beta 72.83
_cell_angle_gamma 71.62
loop_
_space_group_symop_operation_xyz
'x,y,z'
'-x,-y,-z'
loop_
_atom_site_label
_atom_site_fract_x
_atom_site_fract_y
_atom_site_fract_z
_atom_site_occupancy
Rb1 0.000 0.000 0.000 1
Th1 0.500 0.500 0.500 1
I1 0.068 0.568 0.294 1
I2 0.278 0.704 0.742 1
I3 0.426 0.865 0.285 1
```

- distance to the lowest polymorph of the same formula (meV per atom) = 45.9
- final energy (eV for the cell shown) = -25.75
- density (g/cm³) = 4.33

8.
Entry from the Alexandria database: crystalline Rb2ThI5 at its relaxed geometry (GGA-PBE).

Geometry as CIF:
```
data_Rb2ThI5
_chemical_formula_sum 'Rb4 Th2 I10'
_space_group_name_H-M_alt 'I 4 m m'
_space_group_IT_number 107
_space_group_name_Hall 'I 4 -2'
_cell_length_a 8.848
_cell_length_b 8.848
_cell_length_c 11.453
_cell_angle_alpha 90.00
_cell_angle_beta 90.00
_cell_angle_gamma 90.00
loop_
_atom_site_label
_atom_site_fract_x
_atom_site_fract_y
_atom_site_fract_z
_atom_site_occupancy
Rb1 0.000 0.500 0.000 1
Th1 0.000 0.000 0.253 1
I1 0.000 0.000 0.991 1
I2 0.247 0.247 0.271 1
```

- final energy (eV for the cell shown) = -52.71
- density (g/cm³) = 3.84

9.
Entry from the Alexandria database: crystalline Rb3ThI7 at its relaxed geometry (GGA-PBE).

Geometry as CIF:
```
data_Rb3ThI7
_chemical_formula_sum 'Rb6 Th2 I14'
_space_group_name_H-M_alt 'C 1 m 1'
_space_group_IT_number 8
_cell_length_a 12.748
_cell_length_b 11.607
_cell_length_c 9.610
_cell_angle_alpha 90.00
_cell_angle_beta 126.25
_cell_angle_gamma 90.00
loop_
_space_group_symop_operation_xyz
'x,y,z'
'x,-y,z'
'x+1/2,y+1/2,z'
'x+1/2,-y+1/2,z'
loop_
_atom_site_label
_atom_site_fract_x
_atom_site_fract_y
_atom_site_fract_z
_atom_site_occupancy
Rb1 0.000 0.000 0.000 1
Rb2 0.010 0.280 0.593 1
Th1 0.061 0.500 0.149 1
I1 0.126 0.248 0.312 1
I2 0.204 0.500 0.975 1
I3 0.361 0.500 0.510 1
I4 0.366 0.169 0.839 1
I5 0.367 0.000 0.247 1
```

- final energy (eV for the cell shown) = -72.18
- density (g/cm³) = 3.99

10.
Entry from the Alexandria database: crystalline Rb2ThI8 at its relaxed geometry (GGA-PBE).

Geometry as CIF:
```
data_Rb2ThI8
_chemical_formula_sum 'Rb4 Th2 I16'
_space_group_name_H-M_alt 'C 1 2/m 1'
_space_group_IT_number 12
_cell_length_a 16.037
_cell_length_b 12.512
_cell_length_c 6.468
_cell_angle_alpha 90.00
_cell_angle_beta 103.99
_cell_angle_gamma 90.00
loop_
_space_group_symop_operation_xyz
'x,y,z'
'-x,-y,-z'
'-x,y,-z'
'x,-y,z'
'x+1/2,y+1/2,z'
'-x+1/2,-y+1/2,-z'
'-x+1/2,y+1/2,-z'
'x+1/2,-y+1/2,z'
loop_
_atom_site_label
_atom_site_fract_x
_atom_site_fract_y
_atom_site_fract_z
_atom_site_occupancy
Rb1 0.217 0.000 0.081 1
Th1 0.000 0.500 0.000 1
I1 0.007 0.000 0.259 1
I2 0.086 0.322 0.800 1
I3 0.170 0.500 0.352 1
```

- final energy (eV for the cell shown) = -66.08
- density (g/cm³) = 3.74

11.
Entry from the Alexandria database: crystalline RbThI4 at its relaxed geometry (GGA-PBE).

Geometry as CIF:
```
data_RbThI4
_chemical_formula_sum 'Rb2 Th2 I8'
_space_group_name_H-M_alt 'P -1'
_space_group_IT_number 2
_cell_length_a 7.746
_cell_length_b 8.801
_cell_length_c 9.879
_cell_angle_alpha 76.83
_cell_angle_beta 75.98
_cell_angle_gamma 87.87
loop_
_space_group_symop_operation_xyz
'x,y,z'
'-x,-y,-z'
loop_
_atom_site_label
_atom_site_fract_x
_atom_site_fract_y
_atom_site_fract_z
_atom_site_occupancy
Rb1 0.166 0.180 0.134 1
Th1 0.000 0.500 0.500 1
Th2 0.500 0.000 0.500 1
I1 0.048 0.434 0.806 1
I2 0.188 0.829 0.440 1
I3 0.305 0.967 0.821 1
I4 0.368 0.345 0.394 1
```

- final energy (eV for the cell shown) = -42.82
- density (g/cm³) = 4.31

12.
Entry from the Alexandria database: crystalline RbThTl2I8 at its relaxed geometry (GGA-PBE).

Geometry as CIF:
```
data_RbThTl2I8
_chemical_formula_sum 'Rb1 Th1 Tl2 I8'
_space_group_name_H-M_alt 'P -1'
_space_group_IT_number 2
_cell_length_a 6.931
_cell_length_b 8.510
_cell_length_c 10.865
_cell_angle_alpha 90.06
_cell_angle_beta 90.20
_cell_angle_gamma 90.86
loop_
_space_group_symop_operation_xyz
'x,y,z'
'-x,-y,-z'
loop_
_atom_site_label
_atom_site_fract_x
_atom_site_fract_y
_atom_site_fract_z
_atom_site_occupancy
Rb1 0.000 0.000 0.000 1
Th1 0.000 0.000 0.500 1
Tl1 0.498 0.500 0.723 1
I1 0.220 0.689 0.499 1
I2 0.243 0.513 0.000 1
I3 0.252 0.136 0.292 1
I4 0.254 0.134 0.710 1
```

- final energy (eV for the cell shown) = -36.86
- density (g/cm³) = 4.51